## LiMoP2 (meta-GGA SCAN)

Data for a crystal of LiMoP2 relaxed with PBEsol.

```
LiMoP2
1.0
4.175 0.000 0.000
2.087 3.615 0.000
2.087 1.205 3.409
P Mo Li
2 1 1
direct
0.750 0.750 0.750
0.000 0.000 0.000
0.250 0.250 0.250
0.500 0.500 0.500
```

Calculated values
Raw total energy ... -56.59 eV for the cell shown
Symmetry ... F-43m
Distance to the lowest polymorph of the same formula ... 247 kJ/mol of formula units
Formation energy ... 1.5 eV per formula unit
Density of states at the Fermi level ... 2.30 states/eV/cell